# Ba2W3O10

An optimized crystal structure of Ba2W3O10 (GGA+U, Alexandria via LeMat-Bulk).

Results
space group: C2/m, No. 12
E_tot: -7.373 eV/atom

abc: 9.9489 9.9489 7.8664
angles: 111.84 111.84 36.91
Sites, in units of the cell vectors:
Ba1 0.1102 0.1102 0.2175
Ba2 0.2098 0.2098 0.8179
Ba3 0.7902 0.7902 0.1821
Ba4 0.8898 0.8898 0.7825
W1 0.2439 0.7561 0.5000
W2 0.3166 0.3166 0.4770
W3 0.4191 0.4191 0.0273
W4 0.5809 0.5809 0.9727
W5 0.6834 0.6834 0.5230
W6 0.7561 0.2439 0.5000
O1 0.0000 0.5000 0.5000
O2 0.0217 0.0217 0.6779
O3 0.1319 0.5844 0.0295
O4 0.1589 0.6308 0.4800
O5 0.2680 0.2680 0.2249
O6 0.2992 0.7008 0.0000
O7 0.3685 0.3685 0.7542
O8 0.3692 0.8411 0.5200
O9 0.4156 0.8681 0.9705
O10 0.4744 0.4744 0.3082
O11 0.5000 0.0000 0.5000
O12 0.5256 0.5256 0.6918
O13 0.5844 0.1319 0.0295
O14 0.6308 0.1589 0.4800
O15 0.6315 0.6315 0.2458
O16 0.7008 0.2992 0.0000
O17 0.7320 0.7320 0.7751
O18 0.8411 0.3692 0.5200
O19 0.8681 0.4156 0.9705
O20 0.9783 0.9783 0.3221